! YPO2 (PBE, relaxed); values from VASP
! **DOS(E_F)**: 0.075 states/eV per atom
! **Formation energy without anion corrections**: -1.406 eV per atom
&SYSTEM
  ibrav = 0, nat = 8, ntyp = 3
/
ATOMIC_SPECIES
O 16.00 O.upf
Y 88.91 Y.upf
P 30.97 P.upf
CELL_PARAMETERS angstrom
4.2981 0.0000 0.0000
0.0000 4.2981 0.0000
2.1490 2.1490 6.5766
ATOMIC_POSITIONS crystal
O 0.6087 0.1250 0.2500
O 0.8750 0.8587 0.7500
O 0.1413 0.6250 0.2500
O 0.3750 0.3913 0.7500
Y 0.7500 0.2500 0.5000
Y 0.0000 0.0000 0.0000
P 0.5000 0.5000 0.0000
P 0.2500 0.7500 0.5000